# 1
The following is a PBE calculation of an optimized crystal structure of NaSiI6, from the Alexandria database.

Cell: 8.839 8.839 6.873 Å, 111.21 111.21 110.25°
Element x y z (fractional)
Na1 0.000 0.000 0.000
Si1 0.500 0.500 0.500
I1 0.178 0.441 0.153
I2 0.288 0.288 0.607
I3 0.441 0.178 0.153
I4 0.559 0.822 0.847
I5 0.712 0.712 0.393
I6 0.822 0.559 0.847

**N(E_F)**: 10.447 states/eV per cell
**E_form (uncorrected)**: -227 kJ/mol of formula units
**Calculated volume**: 390.0 Å³/cell

***

# 2
The following is a PBE calculation of an optimized crystal structure of Sm2ErTl2Zn2, from the Alexandria database.

Cell: 9.714 9.714 9.714 Å, 28.26 28.26 28.26°
Element x y z (fractional)
Sm1 0.126 0.126 0.126
Sm2 0.874 0.874 0.874
Er1 0.000 0.000 0.000
Tl1 0.265 0.265 0.265
Tl2 0.735 0.735 0.735
Zn1 0.389 0.389 0.389
Zn2 0.611 0.611 0.611

**N(E_F)**: 3.028 states/eV per cell
**Total energy**: -22.42 eV per cell
**Calculated volume**: 181.6 Å³/cell

***

# 3
The following is a PBE calculation of an optimized crystal structure of NiHBr, from the Alexandria database.

Cell: 5.046 5.046 5.046 Å, 120.56 94.06 114.88°
Element x y z (fractional)
Ni1 0.500 0.000 0.000
Ni2 0.500 0.500 0.500
H1 0.315 0.065 0.250
H2 0.685 0.935 0.750
Br1 0.000 0.500 0.500
Br2 0.500 0.500 0.000

**Energy above the lowest structure with this stoichiometry**: 77 meV per atom
**N(E_F)**: 2.833 states/eV per cell
**Calculated volume**: 93.5 Å³/cell

***

# 4
The following is a PBE calculation of an optimized crystal structure of SrRe2As, from the Alexandria database.

Cell: 3.251 4.166 6.279 Å, 90.00 91.10 90.00°
Element x y z (fractional)
Sr1 0.000 0.000 0.000
Re1 0.025 0.500 0.575
Re2 0.489 0.000 0.539
As1 0.512 0.500 0.270

**N(E_F)**: 3.417 states/eV per cell
**Total energy**: -30.29 eV per cell
**Calculated volume**: 85.0 Å³/cell